A plane-wave DFT calculation with PBE was carried out for an optimized crystal structure of Ce3Re.

Calculated values
**Formation energy from the elements**: 2.52 kcal/mol of atoms

```
data_Ce3Re
_space_group_name_H-M_alt 'I m m m'
_space_group_IT_number 71
_space_group_name_Hall '-I 2 2'
_cell_length_a 3.361
_cell_length_b 5.481
_cell_length_c 9.811
_cell_angle_alpha 90.00
_cell_angle_beta 90.00
_cell_angle_gamma 90.00
loop_
_atom_site_label
_atom_site_type_symbol
_atom_site_fract_x
_atom_site_fract_y
_atom_site_fract_z
_atom_site_occupancy
Ce1 Ce 0.000 0.000 0.000 1
Ce2 Ce 0.000 0.500 0.234 1
Re1 Re 0.000 0.000 0.500 1
```


A plane-wave DFT calculation with PBE was carried out for an optimized crystal structure of ZnCd2Te.

Calculated values
**ΔE_f (raw)**: 68.2 meV per atom

```
data_ZnCd2Te
_space_group_name_H-M_alt 'P 4/m m m'
_space_group_IT_number 123
_space_group_name_Hall '-P 4 2'
_cell_length_a 4.168
_cell_length_b 4.168
_cell_length_c 5.688
_cell_angle_alpha 90.00
_cell_angle_beta 90.00
_cell_angle_gamma 90.00
loop_
_atom_site_label
_atom_site_type_symbol
_atom_site_fract_x
_atom_site_fract_y
_atom_site_fract_z
_atom_site_occupancy
Zn1 Zn 0.000 0.000 0.000 1
Cd1 Cd 0.000 0.500 0.500 1
Te1 Te 0.500 0.500 0.000 1
```


A plane-wave DFT calculation with PBE was carried out for an optimized crystal structure of La3Al4Rh4.

Calculated values
**Formation energy from the elements**: -17.19 kcal/mol of atoms

```
data_La3Al4Rh4
_space_group_name_H-M_alt 'I -4 3 m'
_space_group_IT_number 217
_space_group_name_Hall 'I -4 2 3'
_cell_length_a 7.755
_cell_length_b 7.755
_cell_length_c 7.755
_cell_angle_alpha 90.00
_cell_angle_beta 90.00
_cell_angle_gamma 90.00
loop_
_atom_site_label
_atom_site_type_symbol
_atom_site_fract_x
_atom_site_fract_y
_atom_site_fract_z
_atom_site_occupancy
La1 La 0.000 0.000 0.500 1
Al1 Al 0.128 0.128 0.128 1
Rh1 Rh 0.189 0.189 0.811 1
```


A plane-wave DFT calculation with PBE was carried out for an optimized crystal structure of LaNd3Er8.

Calculated values
**Formation energy from the elements**: 14.61 kcal/mol of atoms

```
data_LaNd3Er8
_space_group_name_H-M_alt 'I -4 2 m'
_space_group_IT_number 121
_space_group_name_Hall 'I -4 2'
_cell_length_a 8.719
_cell_length_b 8.719
_cell_length_c 11.289
_cell_angle_alpha 90.00
_cell_angle_beta 90.00
_cell_angle_gamma 90.00
loop_
_atom_site_label
_atom_site_type_symbol
_atom_site_fract_x
_atom_site_fract_y
_atom_site_fract_z
_atom_site_occupancy
La1 La 0.000 0.000 0.000 1
Nd1 Nd 0.000 0.000 0.500 1
Nd2 Nd 0.000 0.500 0.250 1
Er1 Er 0.125 0.125 0.750 1
Er2 Er 0.249 0.249 0.001 1
```


Computed total energy, in the same sequence as the records: -7.453, -1.493, -6.123, -4.011 eV per atom.